Material: PrPdS2
Method: DFT, GGA-PBE
State: optimized geometry

Calculated values
Its spin magnetization is 0.000 μB/cell. The uncorrected formation energy is -0.366 eV per atom.

Cell: 3.719 3.719 8.318 Å, 77.08 77.08 60.00°
Fractional coordinates of all 4 atoms:
Pr 0.000 0.000 0.000
S 0.884 0.884 0.348
S 0.116 0.116 0.652
Pd 0.500 0.500 0.500